No. 1
DFT (PBE) results for a geometry-optimized CaZrAl2V structure.

## Properties
Raw total energy: -26.1 eV/cell

a b c (Å): 5.016 5.016 4.641
angles (deg): 90.00 90.00 90.00
Space group P4/mmm (No. 123)
Symmetry-distinct sites (fractional):
Ca (0.000, 0.000, 0.000)
Zr (0.500, 0.500, 0.000)
Al (0.000, 0.500, 0.500)
V (0.500, 0.500, 0.500)

No. 2
DFT (PBE) results for a geometry-optimized CaAl2W structure.

## Properties
Raw total energy: -21.3 eV/cell

a b c (Å): 2.916 4.748 5.421
angles (deg): 90.00 97.28 90.00
Space group Pm (No. 6)
Symmetry-distinct sites (fractional):
Ca (0.000, 0.000, 0.000)
Al (0.422, 0.000, 0.492)
Al (0.442, 0.500, 0.784)
W (0.805, 0.500, 0.345)

No. 3
DFT (PBE) results for a geometry-optimized CaAlW2 structure.

## Properties
Raw total energy: -29.8 eV/cell

a b c (Å): 2.766 2.766 9.416
angles (deg): 90.00 90.00 90.00
Space group P4/mmm (No. 123)
Symmetry-distinct sites (fractional):
Ca (0.000, 0.000, 0.000)
Al (0.000, 0.000, 0.500)
W (0.500, 0.500, 0.284)

No. 4
DFT (PBE) results for a geometry-optimized CaAlW2 structure.

## Properties
Raw total energy: -59.6 eV/cell

a b c (Å): 3.676 4.119 9.472
angles (deg): 90.00 90.00 90.00
Space group Cmmm (No. 65)
Symmetry-distinct sites (fractional):
Ca (0.000, 0.000, 0.000)
Al (0.000, 0.000, 0.500)
W (0.000, 0.500, 0.283)

No. 5
DFT (PBE) results for a geometry-optimized CaAl2W structure.

## Properties
Raw total energy: -21.4 eV/cell

a b c (Å): 2.876 2.876 8.986
angles (deg): 90.00 90.00 90.00
Space group P4mm (No. 99)
Symmetry-distinct sites (fractional):
Ca (0.000, 0.000, 0.000)
Al (0.000, 0.000, 0.497)
Al (0.500, 0.500, 0.715)
W (0.500, 0.500, 0.283)

No. 6
DFT (PBE) results for a geometry-optimized CaAl2W structure.

## Properties
Raw total energy: -22.3 eV/cell

a b c (Å): 3.003 3.811 6.622
angles (deg): 90.00 90.00 90.00
Space group Pmmm (No. 47)
Symmetry-distinct sites (fractional):
Ca (0.000, 0.000, 0.000)
Al (0.500, 0.500, 0.303)
W (0.000, 0.000, 0.500)